# PBE-GGA As3Pt, optimized geometry
data_As3Pt
_symmetry_space_group_name_H-M 'P 1'
_symmetry_Int_Tables_number 1
_symmetry_space_group_name_Hall 'P 1'
_cell_length_a 7.856
_cell_length_b 7.856
_cell_length_c 4.078
_cell_angle_alpha 90.00
_cell_angle_beta 90.00
_cell_angle_gamma 120.00
loop_
_atom_site_label
_atom_site_fract_x
_atom_site_fract_y
_atom_site_fract_z
As1 0.222 0.445 0.250
As2 0.222 0.778 0.250
As3 0.445 0.222 0.750
As4 0.555 0.778 0.250
As5 0.778 0.222 0.750
As6 0.778 0.555 0.750
Pt1 0.333 0.667 0.750
Pt2 0.667 0.333 0.250
# D(E_F) in states/eV per cell: 2.67
# Energy of formation in meV per atom: 63
# E_tot in eV per atom: -4.935
# Calculated volume in Å³/cell: 218.0
# Energy relative to the lowest polymorph listed for this composition in meV/atom: 146